# 1
LaPmHo4 GGA-PBE optimized geometry; space group = No. 11; DFT total energy = -4.60 eV/atom; crystal system = monoclinic
1.0
5.648 -0.941 0.000
-4.004 10.485 0.000
0.000 0.000 7.048
La Pm Ho
2 2 8
Direct
0.700 0.418 0.750
0.300 0.582 0.250
0.642 0.918 0.750
0.358 0.082 0.250
0.361 0.585 0.750
0.639 0.415 0.250
0.304 0.080 0.750
0.696 0.920 0.250
0.003 0.754 0.998
0.997 0.246 0.498
0.003 0.754 0.502
0.997 0.246 0.002

# 2
CaGdPu4 GGA-PBE optimized geometry; space group = No. 216; DFT total energy = -11.93 eV/atom; crystal system = cubic
1.0
-4.321 -4.541 0.825
0.632 -4.143 4.734
-3.925 0.233 4.951
Ca Gd Pu
1 1 4
Direct
0.250 0.250 0.250
0.000 0.000 0.000
0.626 0.626 0.123
0.626 0.123 0.626
0.626 0.626 0.626
0.123 0.626 0.626

# 3
Li2SmCo9 GGA-PBE optimized geometry; space group = No. 127; DFT total energy = -6.03 eV/atom; crystal system = tetragonal
1.0
4.806 0.000 0.000
0.000 8.058 0.000
0.000 0.000 8.058
Li Sm Co
4 2 18
Direct
0.000 0.614 0.114
0.000 0.386 0.886
0.000 0.114 0.386
0.000 0.886 0.614
0.000 0.500 0.500
0.000 0.000 0.000
0.500 0.500 0.000
0.500 0.000 0.500
0.500 0.713 0.569
0.500 0.287 0.431
0.500 0.213 0.931
0.500 0.787 0.069
0.500 0.431 0.713
0.500 0.569 0.287
0.500 0.069 0.213
0.500 0.931 0.787
0.761 0.821 0.321
0.761 0.179 0.679
0.761 0.321 0.179
0.761 0.679 0.821
0.239 0.179 0.679
0.239 0.821 0.321
0.239 0.679 0.821
0.239 0.321 0.179

# 4
Hf12ZnCo6 GGA-PBE optimized geometry; space group = No. 204; DFT total energy = -8.84 eV/atom; crystal system = cubic
1.0
-4.190 6.017 -2.257
-3.932 -4.050 5.195
6.558 2.476 3.118
Hf Zn Co
12 1 6
Direct
0.296 0.111 0.815
0.296 0.481 0.185
0.704 0.519 0.815
0.704 0.889 0.185
0.111 0.815 0.296
0.481 0.185 0.296
0.519 0.815 0.704
0.889 0.185 0.704
0.815 0.296 0.111
0.185 0.296 0.481
0.815 0.704 0.519
0.185 0.704 0.889
0.000 0.000 0.000
0.363 0.500 0.863
0.637 0.500 0.137
0.500 0.863 0.363
0.500 0.137 0.637
0.863 0.363 0.500
0.137 0.637 0.500

# 5
ZnTcAs2Ir GGA-PBE optimized geometry; space group = No. 123; DFT total energy = -4.60 eV/atom; crystal system = tetragonal
1.0
-0.943 -4.273 -1.592
4.229 -0.260 -1.808
1.587 -1.832 3.976
Zn As Ir Tc
1 2 1 1
Direct
0.000 0.000 0.000
0.000 0.000 0.500
0.500 0.000 0.000
0.000 0.500 0.000
0.500 0.500 0.500

# 6
Sc3ZnAu GGA-PBE optimized geometry; space group = No. 63; DFT total energy = -5.16 eV/atom; crystal system = orthorhombic
1.0
4.627 0.000 1.057
0.000 4.739 0.000
0.286 0.000 9.400
Sc Zn Au
6 2 2
Direct
0.761 0.250 0.126
0.385 0.250 0.878
0.574 0.250 0.501
0.263 0.750 0.122
0.887 0.750 0.874
0.074 0.750 0.499
0.477 0.750 0.694
0.171 0.250 0.306
0.666 0.750 0.316
0.982 0.250 0.684

# 7
AlAsBr2F GGA-PBE optimized geometry; space group = No. 123; formation energy (no corrections) = -0.169 eV/atom; DFT total energy = -2.89 eV/atom; crystal system = tetragonal
1.0
4.906 0.000 0.000
0.000 4.906 0.000
0.000 0.000 5.124
As Al Br F
1 1 2 1
Direct
0.000 0.000 0.500
0.000 0.000 0.000
0.000 0.500 0.000
0.500 0.000 0.000
0.500 0.500 0.500

# 8
Be5Ru GGA-PBE optimized geometry; space group = No. 12; DFT total energy = -4.80 eV/atom; crystal system = monoclinic
1.0
1.516 3.994 0.000
-1.516 3.994 0.000
0.000 1.682 4.541
Be Ru
5 1
Direct
0.331 0.331 0.835
0.000 0.000 0.500
0.669 0.669 0.165
0.674 0.674 0.660
0.326 0.326 0.340
0.000 0.000 0.000